#A
A relaxed CdNi3F crystal. Source: the Alexandria database, functional GGA+U.

Properties
The value obtained for the density of states at the Fermi level is 0.43 states/eV per atom.

The structure in POSCAR format:
```
CdNi3F
1.0
-3.0356 0.7730 -3.7215
3.0173 -2.4063 -2.9610
-2.3114 -4.1562 1.0222
Ni F Cd
3 1 1
Direct
0.0000 0.5000 0.0000 Ni
0.0000 0.0000 0.5000 Ni
0.5000 0.0000 0.0000 Ni
0.5000 0.5000 0.5000 F
0.0000 0.0000 0.0000 Cd
```

***

#B
A relaxed CdNi3F crystal. Source: the Alexandria database, functional GGA+U.

Properties
The value obtained for the density of states at the Fermi level is 0.28 states/eV per atom.

The structure in POSCAR format:
```
CdNi3F
1.0
4.1549 0.0000 0.0000
0.0000 4.1549 0.0000
0.0000 0.0000 4.1549
Ni F Cd
3 1 1
Direct
0.0000 0.5000 0.0000 Ni
0.0000 0.0000 0.5000 Ni
0.5000 0.0000 0.0000 Ni
0.0000 0.0000 0.0000 F
0.5000 0.5000 0.5000 Cd
```

***

Which structure loses on stability? #A does.

***

#A
A relaxed CdNi2F crystal. Source: the Alexandria database, functional GGA+U.

Properties
The value obtained for the density of states at the Fermi level is 0.33 states/eV per atom.

The structure in POSCAR format:
```
CdNi2F
1.0
4.6044 0.0000 0.0000
0.0000 4.6044 0.0000
2.3022 2.3022 6.6259
Ni F Cd
4 2 2
Direct
0.4732 0.1250 0.2500 Ni
0.2768 0.6250 0.2500 Ni
0.3750 0.5268 0.7500 Ni
0.8750 0.7232 0.7500 Ni
0.5000 0.5000 0.0000 F
0.2500 0.7500 0.5000 F
0.0000 0.0000 0.0000 Cd
0.7500 0.2500 0.5000 Cd
```

***

#B
A relaxed CdNi2F crystal. Source: the Alexandria database, functional GGA+U.

Properties
The value obtained for the density of states at the Fermi level is 1.08 states/eV per atom.

The structure in POSCAR format:
```
CdNi2F
1.0
0.0000 3.1151 3.1151
3.1151 0.0000 3.1151
3.1151 3.1151 0.0000
Ni F Cd
2 1 1
Direct
0.2500 0.2500 0.2500 Ni
0.7500 0.7500 0.7500 Ni
0.0000 0.0000 0.0000 F
0.5000 0.5000 0.5000 Cd
```

***

Which structure loses on stability? #B does.

***

#A
A relaxed CdNiF2 crystal. Source: the Alexandria database, functional GGA+U.

Properties
The value obtained for the density of states at the Fermi level is 3.07 states/eV per atom.

The structure in POSCAR format:
```
CdNiF2
1.0
0.0000 2.9438 2.9438
2.9438 0.0000 2.9438
2.9438 2.9438 0.0000
Ni F Cd
1 2 1
Direct
0.0000 0.0000 0.0000 Ni
0.2500 0.2500 0.2500 F
0.7500 0.7500 0.7500 F
0.5000 0.5000 0.5000 Cd
```

***

#B
A relaxed CdNiF2 crystal. Source: the Alexandria database, functional GGA+U.

Properties
The value obtained for the density of states at the Fermi level is 0.17 states/eV per atom.

The structure in POSCAR format:
```
CdNiF2
1.0
1.8836 0.0000 7.0091
-0.9418 1.6312 7.0091
-0.9418 -1.6312 7.0091
Ni F Cd
1 2 1
Direct
0.0000 0.0000 0.0000 Ni
0.9072 0.9072 0.9072 F
0.0928 0.0928 0.0928 F
0.5000 0.5000 0.5000 Cd
```

***

Which structure loses on stability? #A does.

***

#A
A relaxed Cd2NiF2 crystal. Source: the Alexandria database, functional GGA+U.

Properties
The value obtained for the density of states at the Fermi level is 0.33 states/eV per atom.

The structure in POSCAR format:
```
Cd2NiF2
1.0
5.2214 0.0000 0.0000
0.0000 5.2214 0.0000
2.6107 2.6107 3.1880
Ni F Cd
1 2 2
Direct
0.0000 0.0000 0.0000 Ni
0.3000 0.3000 0.4000 F
0.7000 0.7000 0.6000 F
0.7500 0.2500 0.5000 Cd
0.2500 0.7500 0.5000 Cd
```

***

#B
A relaxed Cd2NiF2 crystal. Source: the Alexandria database, functional GGA+U.

Properties
The value obtained for the density of states at the Fermi level is 0.54 states/eV per atom.

The structure in POSCAR format:
```
Cd2NiF2
1.0
7.0110 0.0000 0.0000
0.0000 7.0110 0.0000
0.0000 0.0000 2.9465
Ni F Cd
2 4 4
Direct
0.0000 0.0000 0.0000 Ni
0.5000 0.5000 0.0000 Ni
0.3770 0.8770 0.0000 F
0.8770 0.6230 0.0000 F
0.6230 0.1230 0.0000 F
0.1230 0.3770 0.0000 F
0.1809 0.6809 0.5000 Cd
0.6809 0.8191 0.5000 Cd
0.8191 0.3191 0.5000 Cd
0.3191 0.1809 0.5000 Cd
```

***

Which structure loses on stability? #B does.